No. 1
A plane-wave DFT calculation with PBE-GGA was carried out for La2Tl2Ag15 after structural relaxation.

Geometry as POSCAR:
```
La2Tl2Ag15
1.0
7.440 -0.039 -0.035
0.927 7.383 -0.035
0.927 0.813 7.338
La Tl Ag
2 2 15
Cartesian
3.245 2.848 2.538
6.049 5.309 4.730
0.983 0.862 0.768
8.311 7.295 6.500
3.720 -0.019 -0.017
0.463 0.407 3.669
0.463 3.691 -0.017
0.927 5.334 2.264
5.409 2.275 -0.035
2.958 0.548 5.039
2.958 5.069 -0.035
5.409 0.227 2.264
0.927 2.862 5.039
2.419 5.308 4.730
5.577 4.895 1.155
5.577 1.710 4.730
6.875 2.849 2.539
3.717 3.262 6.113
3.717 6.447 2.539
```

Computed properties:
Calculated total energy in eV per atom: -3.09
Space group: No. 166
DFT formation energy in eV/atom: -0.072
Mass density in g/cm³: 9.48
Magnetic moment in μB per cell: 0.000
Volume in Å³ per atom: 21.25

---

No. 2
A plane-wave DFT calculation with PBE-GGA was carried out for In2MoAs after structural relaxation.

Geometry as POSCAR:
```
In2MoAs
1.0
-0.040 -2.682 1.455
2.081 0.028 -2.232
7.000 3.460 6.572
Mo As In
1 1 2
Cartesian
3.607 1.783 3.386
5.873 1.072 4.167
0.035 0.017 0.033
3.026 -0.336 1.494
```

Computed properties:
Calculated total energy in eV per atom: -5.03
Space group: No. 35
DFT formation energy in eV/atom: 0.210
Mass density in g/cm³: 7.52
Magnetic moment in μB per cell: 0.000
Volume in Å³ per atom: 22.12

---

No. 3
A plane-wave DFT calculation with PBE-GGA was carried out for La3SnC after structural relaxation.

Geometry as POSCAR:
```
La3SnC
1.0
-6.790 -1.118 0.133
1.019 -5.681 4.231
4.923 4.294 4.580
C Sn La
2 2 6
Cartesian
-3.660 -1.857 1.414
2.812 -0.649 7.530
-1.967 0.424 4.070
1.119 -2.930 4.875
-1.343 -2.622 2.551
0.496 0.116 6.393
-1.801 -0.067 0.649
0.954 -2.439 8.296
1.884 0.337 3.025
-2.732 -2.843 5.920
```

Computed properties:
Calculated total energy in eV per atom: -5.98
Space group: No. 11
DFT formation energy in eV/atom: -0.376
Mass density in g/cm³: 6.35
Magnetic moment in μB per cell: 0.000
Volume in Å³ per atom: 28.63

---

No. 4
A plane-wave DFT calculation with PBE-GGA was carried out for La2Pr6DyEr3 after structural relaxation.

Geometry as POSCAR:
```
La2Pr6DyEr3
1.0
6.348 -0.003 -0.002
-3.175 5.497 -0.002
-1.055 -1.827 11.849
La Pr Dy Er
2 6 1 3
Cartesian
-0.002 3.665 -0.002
3.175 1.830 -0.002
3.172 1.842 8.820
2.119 3.670 3.025
-1.054 1.826 3.025
0.010 3.668 8.820
-0.001 -0.002 8.820
2.108 0.000 3.025
0.000 0.000 0.000
-2.118 3.669 5.923
4.236 -0.001 5.923
1.059 1.834 5.923
```

Computed properties:
Calculated total energy in eV per atom: -4.72
Space group: No. 12
DFT formation energy in eV/atom: 0.019
Mass density in g/cm³: 7.18
Magnetic moment in μB per cell: 0.000
Volume in Å³ per atom: 34.45